1.
The following is a DFT calculation (GGA-PBE) of a relaxed Sm6DyY2Ho crystal.

a b c (Å): 8.9026 8.9026 9.5728
angles (deg): 93.55 93.55 117.53
Element x y z (fractional)
Sm 0.0130 0.5656 0.1869
Sm 0.1190 0.7593 0.5559
Sm 0.2407 0.8810 0.9441
Sm 0.2916 0.5119 0.3818
Sm 0.4344 0.9870 0.3131
Sm 0.4881 0.7084 0.1182
Sm 0.5119 0.2916 0.8818
Sm 0.5656 0.0130 0.6869
Sm 0.7084 0.4881 0.6182
Sm 0.7593 0.1190 0.0559
Sm 0.8810 0.2407 0.4441
Sm 0.9870 0.4344 0.8131
Dy 0.0282 0.9718 0.2500
Dy 0.9718 0.0282 0.7500
Y 0.2007 0.2994 0.0461
Y 0.2994 0.2007 0.5461
Y 0.7006 0.7993 0.4539
Y 0.7993 0.7006 0.9539
Ho 0.4100 0.5900 0.7500
Ho 0.5900 0.4100 0.2500

Results
E_form ... 11.71 kJ/mol of atoms
VASP energy ... -4.921 eV per atom



2.
The following is a DFT calculation (GGA-PBE) of a relaxed CrSb2HPd crystal.

a b c (Å): 5.3935 5.3935 3.2639
angles (deg): 90.00 90.00 90.00
Element x y z (fractional)
Cr 0.0000 0.0000 0.0000
Sb 0.0000 0.5000 0.5000
Sb 0.5000 0.0000 0.5000
H 0.5000 0.5000 0.0000
Pd 0.5000 0.5000 0.5000

Results
VASP energy ... -5.079 eV per atom